TcRu2ICl | PBE | optimized geometry

The value obtained for the uncorrected formation energy is 1.441 eV/atom. The calculation puts the energy relative to the lowest polymorph listed for this composition at 268 meV/atom.

The structure belongs to space group P4/mmm (No. 123); the cell edges are 4.486, 4.486 and 4.491 Å and the angles 90.00°, 90.00° and 90.00°. The asymmetric unit holds Tc at (0.000, 0.000, 0.000), Ru at (0.000, 0.500, 0.500), I at (0.500, 0.500, 0.000) and Cl at (0.000, 0.000, 0.500).